DFT (PBE) results for a relaxed structure of Ce3PmIn6.

```
10
Lattice="6.2810 3.6263 2.1668 -6.2810 3.6263 2.1668 0.0000 -7.2526 2.1668" Properties=species:S:1:pos:R:3 pbc="T T T"
Ce -2.1433 -1.2374 2.1668
Ce 2.1433 -1.2374 2.1668
Ce 0.0000 2.4749 2.1668
Pm 0.0000 0.0000 1.0079
In -3.1504 -1.8189 5.3510
In 0.0000 -1.7442 4.7934
In -1.5105 0.8721 4.7934
In 1.5105 0.8721 4.7934
In 3.1504 -1.8189 5.3510
In 0.0000 3.6377 5.3510
```

Properties
Space group: R3m
DOS(E_F) in states/eV per atom: 1.664
Energy in eV per atom: -3.85

---

DFT (PBE) results for a relaxed structure of Th2GeRuC.

```
10
Lattice="6.9241 0.0000 0.0000 0.0000 3.8909 0.0000 -3.3286 0.0000 7.8627" Properties=species:S:1:pos:R:3 pbc="T T T"
Th -0.0674 0.9727 3.1666
Th 1.6034 2.9182 0.1373
Th 1.9922 0.9727 7.7254
Th 3.6630 2.9182 4.6961
Ge 0.6947 2.9182 5.6362
Ge 2.9008 0.9727 2.2265
Ru -0.9040 0.9727 5.7668
Ru 4.4996 2.9182 2.0958
C -0.4742 2.9182 1.4435
C 4.0698 0.9727 6.4192
```

Properties
Space group: P2_1/m
DOS(E_F) in states/eV per atom: 0.753
Energy in eV per atom: -8.10

---

DFT (PBE) results for a relaxed structure of CeYErPa.

```
4
Lattice="0.0000 3.9078 3.9078 3.9078 0.0000 3.9078 3.9078 3.9078 0.0000" Properties=species:S:1:pos:R:3 pbc="T T T"
Ce 0.0000 0.0000 0.0000
Y 5.8617 5.8617 5.8617
Er 3.9078 3.9078 3.9078
Pa 1.9539 1.9539 1.9539
```

Properties
Space group: F-43m
DOS(E_F) in states/eV per atom: 2.859
Energy in eV per atom: -6.25

---

DFT (PBE) results for a relaxed structure of NaHg6Au6.

```
13
Lattice="-2.8760 4.9350 4.9874 2.8760 -4.9350 4.9874 2.8760 4.9350 -4.9874" Properties=species:S:1:pos:R:3 pbc="T T T"
Na 0.0000 0.0000 0.0000
Hg 2.8760 0.0000 1.7159
Hg 0.0000 0.0000 3.3647
Hg 0.0000 3.3734 0.0000
Hg 0.0000 6.4966 0.0000
Hg 0.0000 0.0000 6.6101
Hg 0.0000 4.9350 3.2715
Au 1.4380 2.4675 -2.4937
Au 1.4380 -2.4675 2.4937
Au 2.8760 2.3591 0.0000
Au -1.4380 2.4675 2.4937
Au 1.4380 2.4675 2.4937
Au 0.0000 2.5759 4.9874
```

Properties
Space group: Immm
DOS(E_F) in states/eV per atom: 0.407
Energy in eV per atom: -1.80

---

DFT (PBE) results for a relaxed structure of Pm6Y2HoTm3.

```
12
Lattice="3.1146 -5.3931 0.0000 3.1146 5.3931 0.0000 -2.0685 0.0000 11.5892" Properties=species:S:1:pos:R:3 pbc="T T T"
Pm 0.0043 1.7932 8.7150
Pm 1.0344 0.0000 2.8730
Pm 0.0043 -1.7932 8.7150
Pm 4.1564 1.7932 2.8742
Pm 3.1264 0.0000 8.7162
Pm 4.1564 -1.7932 2.8742
Y 2.0804 1.7970 5.7946
Y 2.0804 -1.7970 5.7946
Ho -1.0343 0.0000 5.7946
Tm 3.1146 3.5950 0.0000
Tm 3.1146 0.0000 0.0000
Tm 3.1146 -3.5950 0.0000
```

Properties
Space group: C2/m
DOS(E_F) in states/eV per atom: 1.127
Energy in eV per atom: -4.94

---

DFT (PBE) results for a relaxed structure of Na3SrTa4O12.

```
20
Lattice="5.6155 0.0000 0.0000 0.0000 7.9721 0.0000 -0.0377 0.0000 5.6163" Properties=species:S:1:pos:R:3 pbc="T T T"
Na 0.0000 0.0000 0.0000
Na 0.0327 3.9861 5.5382
Na 2.8285 3.9861 2.7546
Sr 2.7907 0.0000 2.8056
Ta 0.0155 2.0186 2.7647
Ta 0.0155 5.9535 2.7647
Ta 2.8073 2.0185 5.5755
Ta 2.8073 5.9536 5.5755
O 0.1887 3.9861 2.9680
O 1.2631 1.7163 4.3168
O 1.2631 6.2559 4.3168
O 1.6117 1.9801 1.5392
O 1.6117 5.9921 1.5392
O 2.5900 3.9861 5.4212
O 3.0522 0.0000 0.0987
O 4.0411 2.0036 3.9856
O 4.0411 5.9685 3.9856
O 4.4005 2.2325 1.2002
O 4.4005 5.7396 1.2002
O 5.4752 0.0000 2.5708
```

Properties
Space group: Pm
DOS(E_F) in states/eV per atom: 0.099
ΔE_f (raw) in kJ/mol of formula units: -5270
Energy in eV per atom: -8.36